(1)
CaTbInCu after structural relaxation. Source: Alexandria, functional PBE.

Cell lengths 5.209, 5.209, 5.209 Å; angles 60.00, 60.00, 60.00 degrees
Fractional coordinates of all 4 atoms:
Ca  0.000  0.000  0.000
Tb  0.500  0.500  0.500
In  0.250  0.250  0.250
Cu  0.750  0.750  0.750

Results
- Formation enthalpy at 0 K: -0.270 eV/atom
- Final energy: -3.637 eV/atom

=====

(2)
CaY2InCu after structural relaxation. Source: Alexandria, functional PBE.

Cell lengths 5.816, 5.816, 4.913 Å; angles 90.00, 90.00, 90.00 degrees
Fractional coordinates of all 5 atoms:
Ca  0.000  0.000  0.000
Y  0.000  0.500  0.500
Y  0.500  0.000  0.500
In  0.500  0.500  0.500
Cu  0.500  0.500  0.000

Results
- Formation enthalpy at 0 K: 0.373 eV/atom
- Final energy: -3.980 eV/atom

=====

(3)
Ca2ZnInCu after structural relaxation. Source: Alexandria, functional PBE.

Cell lengths 5.499, 5.499, 4.599 Å; angles 90.00, 90.00, 90.00 degrees
Fractional coordinates of all 5 atoms:
Ca  0.000  0.500  0.000
Ca  0.500  0.000  0.000
Zn  0.000  0.000  0.500
In  0.500  0.500  0.500
Cu  0.000  0.000  0.000

Results
- Formation enthalpy at 0 K: -0.076 eV/atom
- Final energy: -2.498 eV/atom

=====

(4)
Ca2Zn3InCu12 after structural relaxation. Source: Alexandria, functional PBE.

Cell lengths 6.578, 6.578, 6.578 Å; angles 85.17, 85.17, 85.17 degrees
Fractional coordinates of all 18 atoms:
Ca  0.209  0.209  0.209
Ca  0.791  0.791  0.791
Zn  0.000  0.500  0.500
Zn  0.500  0.000  0.500
Zn  0.500  0.500  0.000
In  0.500  0.500  0.500
Cu  0.082  0.082  0.638
Cu  0.082  0.638  0.082
Cu  0.211  0.702  0.702
Cu  0.298  0.298  0.789
Cu  0.298  0.789  0.298
Cu  0.362  0.918  0.918
Cu  0.638  0.082  0.082
Cu  0.702  0.211  0.702
Cu  0.702  0.702  0.211
Cu  0.789  0.298  0.298
Cu  0.918  0.362  0.918
Cu  0.918  0.918  0.362

Results
- Formation enthalpy at 0 K: 0.093 eV/atom
- Final energy: -3.225 eV/atom